Record 1
A crystal of RbCd3Pd relaxed with PBEsol. Source: Alexandria via LeMat-Bulk, functional SCAN.

Cell and atoms, written as CIF:
```
data_RbCd3Pd
_symmetry_space_group_name_H-M 'P m -3 m'
_symmetry_Int_Tables_number 221
_symmetry_space_group_name_Hall '-P 4 2 3'
_cell_length_a 5.225
_cell_length_b 5.225
_cell_length_c 5.225
_cell_angle_alpha 90.00
_cell_angle_beta 90.00
_cell_angle_gamma 90.00
loop_
_atom_site_label
_atom_site_fract_x
_atom_site_fract_y
_atom_site_fract_z
Rb1 0.000 0.000 0.000
Cd1 0.000 0.500 0.500
Pd1 0.500 0.500 0.500
```

Results
For the energy relative to the lowest polymorph listed for this composition, the calculation gives 0.0 kJ per mole of atoms. The electronic total energy is -145.8 eV for the cell shown. Its calculated formation energy is -200 meV/atom. As for the crystal system: cubic.



Record 2
A crystal of Mg3Sc relaxed with PBEsol. Source: Alexandria via LeMat-Bulk, functional SCAN.

Cell and atoms, written as CIF:
```
data_Mg3Sc
_symmetry_space_group_name_H-M 'R -3 m'
_symmetry_Int_Tables_number 166
_symmetry_space_group_name_Hall '-R 3 2"'
_cell_length_a 3.1732
_cell_length_b 3.1732
_cell_length_c 31.5099
_cell_angle_alpha 90.00
_cell_angle_beta 90.00
_cell_angle_gamma 120.00
loop_
_atom_site_label
_atom_site_fract_x
_atom_site_fract_y
_atom_site_fract_z
Mg1 0.0000 0.0000 0.0000
Mg2 0.0000 0.0000 0.2501
Sc1 0.0000 0.0000 0.5000
```

Results
The electronic total energy is -87.3 eV for the cell shown. Its calculated formation energy is 18 meV/atom. As for the crystal system: trigonal.



Record 3
A crystal of BaCaCl2 relaxed with PBEsol. Source: Alexandria via LeMat-Bulk, functional SCAN.

Cell and atoms, written as CIF:
```
data_BaCaCl2
_symmetry_space_group_name_H-M 'I m m m'
_symmetry_Int_Tables_number 71
_symmetry_space_group_name_Hall '-I 2 2'
_cell_length_a 3.944
_cell_length_b 6.981
_cell_length_c 9.035
_cell_angle_alpha 90.00
_cell_angle_beta 90.00
_cell_angle_gamma 90.00
loop_
_atom_site_label
_atom_site_fract_x
_atom_site_fract_y
_atom_site_fract_z
Ba1 0.000 0.000 0.000
Ca1 0.000 0.000 0.500
Cl1 0.000 0.500 0.208
```

Results
As for the uncorrected formation energy: -1.79 eV/atom. For the energy relative to the lowest polymorph listed for this composition, the calculation gives 12.3 kJ per mole of atoms. The electronic total energy is -144.7 eV for the cell shown. As for the crystal system: orthorhombic.



Record 4
A crystal of SiIrClO2 relaxed with PBEsol. Source: Alexandria via LeMat-Bulk, functional SCAN.

Cell and atoms, written as CIF:
```
data_SiIrClO2
_symmetry_space_group_name_H-M 'P 4/m m m'
_symmetry_Int_Tables_number 123
_symmetry_space_group_name_Hall '-P 4 2'
_cell_length_a 3.320
_cell_length_b 3.320
_cell_length_c 6.898
_cell_angle_alpha 90.00
_cell_angle_beta 90.00
_cell_angle_gamma 90.00
loop_
_atom_site_label
_atom_site_fract_x
_atom_site_fract_y
_atom_site_fract_z
Si1 0.000 0.000 0.000
Ir1 0.500 0.500 0.500
Cl1 0.000 0.000 0.500
O1 0.000 0.500 0.000
```

Results
As for the uncorrected formation energy: -0.52 eV/atom. The electronic total energy is -104.2 eV for the cell shown. As for the crystal system: tetragonal.



Record 5
A crystal of AlZnRe relaxed with PBEsol. Source: Alexandria via LeMat-Bulk, functional SCAN.

Cell and atoms, written as CIF:
```
data_AlZnRe
_symmetry_space_group_name_H-M 'I 4 m m'
_symmetry_Int_Tables_number 107
_symmetry_space_group_name_Hall 'I 4 -2'
_cell_length_a 3.106
_cell_length_b 3.106
_cell_length_c 8.704
_cell_angle_alpha 90.00
_cell_angle_beta 90.00
_cell_angle_gamma 90.00
loop_
_atom_site_label
_atom_site_fract_x
_atom_site_fract_y
_atom_site_fract_z
Al1 0.000 0.000 0.000
Zn1 0.000 0.000 0.326
Re1 0.000 0.000 0.661
```

Results
For the energy relative to the lowest polymorph listed for this composition, the calculation gives 0.0 kJ per mole of atoms. The electronic total energy is -184.3 eV for the cell shown. Its calculated formation energy is 71 meV/atom. As for the crystal system: tetragonal.



Record 6
A crystal of Ba2LaTcS relaxed with PBEsol. Source: Alexandria via LeMat-Bulk, functional SCAN.

Cell and atoms, written as CIF:
```
data_Ba2LaTcS
_symmetry_space_group_name_H-M 'P 4/m m m'
_symmetry_Int_Tables_number 123
_symmetry_space_group_name_Hall '-P 4 2'
_cell_length_a 6.260
_cell_length_b 6.260
_cell_length_c 4.549
_cell_angle_alpha 90.00
_cell_angle_beta 90.00
_cell_angle_gamma 90.00
loop_
_atom_site_label
_atom_site_fract_x
_atom_site_fract_y
_atom_site_fract_z
Ba1 0.000 0.500 0.000
La1 0.000 0.000 0.000
Tc1 0.000 0.000 0.500
S1 0.500 0.500 0.500
```

Results
As for the uncorrected formation energy: 0.38 eV/atom. The electronic total energy is -165.0 eV for the cell shown. As for the crystal system: tetragonal.



Record 7
A crystal of CdGa3Rh relaxed with PBEsol. Source: Alexandria via LeMat-Bulk, functional SCAN.

Cell and atoms, written as CIF:
```
data_CdGa3Rh
_symmetry_space_group_name_H-M 'P m -3 m'
_symmetry_Int_Tables_number 221
_symmetry_space_group_name_Hall '-P 4 2 3'
_cell_length_a 4.840
_cell_length_b 4.840
_cell_length_c 4.840
_cell_angle_alpha 90.00
_cell_angle_beta 90.00
_cell_angle_gamma 90.00
loop_
_atom_site_label
_atom_site_fract_x
_atom_site_fract_y
_atom_site_fract_z
Cd1 0.000 0.000 0.000
Ga1 0.000 0.000 0.500
Rh1 0.500 0.500 0.500
```

Results
The electronic total energy is -107.6 eV for the cell shown. Its calculated formation energy is 1121 meV/atom. As for the crystal system: cubic.



Record 8
A crystal of CaMg6C relaxed with PBEsol. Source: Alexandria via LeMat-Bulk, functional SCAN.

Cell and atoms, written as CIF:
```
data_CaMg6C
_symmetry_space_group_name_H-M 'A m m 2'
_symmetry_Int_Tables_number 38
_cell_length_a 3.461
_cell_length_b 5.682
_cell_length_c 19.550
_cell_angle_alpha 90.00
_cell_angle_beta 90.00
_cell_angle_gamma 90.00
loop_
_symmetry_equiv_pos_as_xyz
'x,y,z'
'-x,-y,z'
'-x,y,z'
'x,-y,z'
'x,y+1/2,z+1/2'
'-x,-y+1/2,z+1/2'
'-x,y+1/2,z+1/2'
'x,-y+1/2,z+1/2'
loop_
_atom_site_label
_atom_site_fract_x
_atom_site_fract_y
_atom_site_fract_z
Ca1 0.000 0.000 0.000
Mg1 0.000 0.246 0.247
Mg2 0.500 0.000 0.140
Mg3 0.500 0.000 0.596
Mg4 0.500 0.232 0.369
C1 0.000 0.000 0.339
```

Results
The electronic total energy is -94.2 eV for the cell shown. Its calculated formation energy is 316 meV/atom. As for the crystal system: orthorhombic.



Record 9
A crystal of LiTa2Br relaxed with PBEsol. Source: Alexandria via LeMat-Bulk, functional SCAN.

Cell and atoms, written as CIF:
```
data_LiTa2Br
_symmetry_space_group_name_H-M 'I -4 m 2'
_symmetry_Int_Tables_number 119
_symmetry_space_group_name_Hall 'I -4 -2'
_cell_length_a 3.965
_cell_length_b 3.965
_cell_length_c 8.515
_cell_angle_alpha 90.00
_cell_angle_beta 90.00
_cell_angle_gamma 90.00
loop_
_atom_site_label
_atom_site_fract_x
_atom_site_fract_y
_atom_site_fract_z
Li1 0.000 0.000 0.000
Ta1 0.000 0.000 0.500
Ta2 0.000 0.500 0.250
Br1 0.000 0.500 0.750
```

Results
As for the uncorrected formation energy: 0.89 eV/atom. For the energy relative to the lowest polymorph listed for this composition, the calculation gives 77.4 kJ per mole of atoms. The electronic total energy is -303.0 eV for the cell shown. As for the crystal system: tetragonal.



Record 10
A crystal of ZrAsSe2Br relaxed with PBEsol. Source: Alexandria via LeMat-Bulk, functional SCAN.

Cell and atoms, written as CIF:
```
data_ZrAsSe2Br
_symmetry_space_group_name_H-M 'P 4/m m m'
_symmetry_Int_Tables_number 123
_symmetry_space_group_name_Hall '-P 4 2'
_cell_length_a 4.876
_cell_length_b 4.876
_cell_length_c 5.047
_cell_angle_alpha 90.00
_cell_angle_beta 90.00
_cell_angle_gamma 90.00
loop_
_atom_site_label
_atom_site_fract_x
_atom_site_fract_y
_atom_site_fract_z
Zr1 0.000 0.000 0.000
As1 0.500 0.500 0.000
Se1 0.000 0.500 0.500
Br1 0.500 0.500 0.500
```

Results
As for the uncorrected formation energy: 0.76 eV/atom. The electronic total energy is -106.7 eV for the cell shown. As for the crystal system: tetragonal.



Record 11
A crystal of NiPt4 relaxed with PBEsol. Source: Alexandria via LeMat-Bulk, functional SCAN.

Cell and atoms, written as CIF:
```
data_NiPt4
_symmetry_space_group_name_H-M 'I 4/m'
_symmetry_Int_Tables_number 87
_symmetry_space_group_name_Hall '-I 4'
_cell_length_a 6.069
_cell_length_b 6.069
_cell_length_c 3.853
_cell_angle_alpha 90.00
_cell_angle_beta 90.00
_cell_angle_gamma 90.00
loop_
_atom_site_label
_atom_site_fract_x
_atom_site_fract_y
_atom_site_fract_z
Ni1 0.000 0.000 0.000
Pt1 0.104 0.702 0.500
```

Results
The electronic total energy is -594.3 eV for the cell shown. Its calculated formation energy is -45 meV/atom. As for the crystal system: tetragonal.



Record 12
A crystal of BeP2S2 relaxed with PBEsol. Source: Alexandria via LeMat-Bulk, functional SCAN.

Cell and atoms, written as CIF:
```
data_BeP2S2
_symmetry_space_group_name_H-M 'P 4/m m m'
_symmetry_Int_Tables_number 123
_symmetry_space_group_name_Hall '-P 4 2'
_cell_length_a 4.385
_cell_length_b 4.385
_cell_length_c 4.523
_cell_angle_alpha 90.00
_cell_angle_beta 90.00
_cell_angle_gamma 90.00
loop_
_atom_site_label
_atom_site_fract_x
_atom_site_fract_y
_atom_site_fract_z
Be1 0.000 0.000 0.000
P1 0.000 0.500 0.500
S1 0.500 0.500 0.000
S2 0.500 0.500 0.500
```

Results
As for the uncorrected formation energy: 1.32 eV/atom. The electronic total energy is -37.8 eV for the cell shown. As for the crystal system: tetragonal.